Density functional theory data (PBE) for crystalline U3Tl4SnO12 at its relaxed geometry.

Computed properties:
**Total energy**: -7.570 eV/atom
**ΔE_f (raw)**: -2.228 eV per atom
**V**: 17.1 Å³ per atom

Structure (CIF):
```
data_U3Tl4SnO12
_chemical_formula_sum 'U3 Tl4 Sn1 O12'
_cell_length_a 7.6281
_cell_length_b 7.6281
_cell_length_c 7.6281
_cell_angle_alpha 109.47
_cell_angle_beta 109.47
_cell_angle_gamma 109.47
_space_group_name_H-M_alt 'P 1'
_space_group_IT_number 1
loop_
_space_group_symop_operation_xyz
'x,y,z'
loop_
_atom_site_label
_atom_site_type_symbol
_atom_site_fract_x
_atom_site_fract_y
_atom_site_fract_z
_atom_site_occupancy
O1 O 0.0000 0.7225 0.7225 1
O2 O 0.5000 0.7500 0.2500 1
O3 O 0.2500 0.5000 0.7500 1
O4 O 0.7225 0.7225 0.0000 1
O5 O 0.2775 0.0000 0.2775 1
O6 O 0.7225 0.0000 0.7225 1
O7 O 0.7500 0.5000 0.2500 1
O8 O 0.0000 0.2775 0.2775 1
O9 O 0.2500 0.7500 0.5000 1
O10 O 0.7500 0.2500 0.5000 1
O11 O 0.2775 0.2775 0.0000 1
O12 O 0.5000 0.2500 0.7500 1
Tl1 Tl 0.5000 0.0000 0.0000 1
Tl2 Tl 0.0000 0.5000 0.0000 1
Tl3 Tl 0.5000 0.5000 0.5000 1
Tl4 Tl 0.0000 0.0000 0.5000 1
Sn1 Sn 0.0000 0.0000 0.0000 1
U1 U 0.5000 0.0000 0.5000 1
U2 U 0.5000 0.5000 0.0000 1
U3 U 0.0000 0.5000 0.5000 1
```